# 1
Computed, not measured: a relaxed structure of CeGa6Ni6 at the PBE-GGA level of DFT. Values from VASP.

Computed properties:
Space-group type = Immm (71)
E_form = -5.9 eV per formula unit

Quantum ESPRESSO input file:
```
&SYSTEM
  ibrav = 0, nat = 13, ntyp = 3
/
ATOMIC_SPECIES
Ce 140.12 Ce.upf
Ga 69.72 Ga.upf
Ni 58.69 Ni.upf
ATOMIC_POSITIONS crystal
Ce 0.000 0.000 0.000
Ga 0.192 0.692 0.500
Ga 0.345 0.000 0.345
Ga 0.347 0.347 0.000
Ga 0.653 0.653 0.000
Ga 0.655 0.000 0.655
Ga 0.808 0.308 0.500
Ni 0.000 0.000 0.500
Ni 0.000 0.500 0.000
Ni 0.236 0.500 0.736
Ni 0.500 0.000 0.000
Ni 0.500 0.500 0.500
Ni 0.764 0.500 0.264
CELL_PARAMETERS angstrom
-2.507 4.187 4.352
2.507 -4.187 4.352
2.507 4.187 -4.352
```

***

# 2
Computed, not measured: a relaxed structure of CeGa3Ni2 at the PBE-GGA level of DFT. Values from VASP.

Computed properties:
Space-group type = C2/m (12)
E_form = -3.1 eV per formula unit

Quantum ESPRESSO input file:
```
&SYSTEM
  ibrav = 0, nat = 18, ntyp = 3
/
ATOMIC_SPECIES
Ce 140.12 Ce.upf
Ga 69.72 Ga.upf
Ni 58.69 Ni.upf
ATOMIC_POSITIONS crystal
Ce 0.000 0.000 0.000
Ce 0.158 0.158 0.708
Ce 0.842 0.842 0.292
Ga 0.046 0.046 0.356
Ga 0.218 0.218 0.386
Ga 0.336 0.336 0.046
Ga 0.368 0.368 0.804
Ga 0.500 0.500 0.500
Ga 0.632 0.632 0.196
Ga 0.664 0.664 0.954
Ga 0.782 0.782 0.614
Ga 0.954 0.954 0.644
Ni 0.201 0.201 0.118
Ni 0.363 0.363 0.554
Ni 0.484 0.484 0.228
Ni 0.516 0.516 0.772
Ni 0.637 0.637 0.446
Ni 0.799 0.799 0.882
CELL_PARAMETERS angstrom
7.984 -2.041 0.000
7.984 2.041 0.000
-3.034 0.000 9.210
```

***

# 3
Computed, not measured: a relaxed structure of Ce3Ga7Ni2 at the PBE-GGA level of DFT. Values from VASP.

Computed properties:
Space-group type = Cmmm (65)
E_form = -6.0 eV per formula unit

Quantum ESPRESSO input file:
```
&SYSTEM
  ibrav = 0, nat = 12, ntyp = 3
/
ATOMIC_SPECIES
Ce 140.12 Ce.upf
Ga 69.72 Ga.upf
Ni 58.69 Ni.upf
ATOMIC_POSITIONS crystal
Ce 0.000 0.000 0.000
Ce 0.175 0.825 0.000
Ce 0.825 0.175 0.000
Ga 0.086 0.914 0.500
Ga 0.275 0.725 0.500
Ga 0.415 0.585 0.000
Ga 0.500 0.500 0.500
Ga 0.585 0.415 0.000
Ga 0.725 0.275 0.500
Ga 0.914 0.086 0.500
Ni 0.362 0.638 0.500
Ni 0.638 0.362 0.500
CELL_PARAMETERS angstrom
2.099 -13.549 0.000
2.099 13.549 0.000
0.000 0.000 4.105
```

***

# 4
Computed, not measured: a relaxed structure of CeGaNi6 at the PBE-GGA level of DFT. Values from VASP.

Computed properties:
Space-group type = P4/mmm (123)
E_form = -1.0 eV per formula unit

Quantum ESPRESSO input file:
```
&SYSTEM
  ibrav = 0, nat = 8, ntyp = 3
/
ATOMIC_SPECIES
Ce 140.12 Ce.upf
Ga 69.72 Ga.upf
Ni 58.69 Ni.upf
ATOMIC_POSITIONS crystal
Ce 0.000 0.000 0.000
Ga 0.000 0.000 0.500
Ni 0.000 0.500 0.318
Ni 0.000 0.500 0.682
Ni 0.500 0.000 0.318
Ni 0.500 0.000 0.682
Ni 0.500 0.500 0.138
Ni 0.500 0.500 0.862
CELL_PARAMETERS angstrom
3.664 0.000 0.000
0.000 3.664 0.000
0.000 0.000 8.551
```

***

| no. | total magnetic moment (μB per formula unit) | volume (Å³ per cell) | DOS at the Fermi energy (states/eV/atom) |
| --- | --- | --- | --- |
| 1 | 0.0 | 182.77 | 0.731 |
| 2 | 0.4 | 300.14 | 1.024 |
| 3 | 0.3 | 233.45 | 1.200 |
| 4 | 0.0 | 114.77 | 1.194 |